# 1
A plane-wave DFT calculation with PBE-GGA was carried out for a relaxed structure of Pm2SmDy6Er3.

Energy of formation   18 meV/atom
V   31.8 Å³/atom

```
data_Pm2SmDy6Er3
_symmetry_space_group_name_H-M 'C 1 2/m 1'
_symmetry_Int_Tables_number 12
_cell_length_a 6.1663
_cell_length_b 10.6715
_cell_length_c 11.7792
_cell_angle_alpha 90.00
_cell_angle_beta 100.00
_cell_angle_gamma 90.00
loop_
_symmetry_equiv_pos_as_xyz
'x,y,z'
'-x,-y,-z'
'-x,y,-z'
'x,-y,z'
'x+1/2,y+1/2,z'
'-x+1/2,-y+1/2,-z'
'-x+1/2,y+1/2,-z'
'x+1/2,-y+1/2,z'
loop_
_atom_site_label
_atom_site_fract_x
_atom_site_fract_y
_atom_site_fract_z
Pm1 0.0000 0.1666 0.0000
Sm1 0.0000 0.5000 0.0000
Dy1 0.2483 0.1666 0.7463
Dy2 0.2482 0.5000 0.7463
Er1 0.0000 0.0000 0.5000
Er2 0.0000 0.3334 0.5000
```

***

# 2
A plane-wave DFT calculation with PBE-GGA was carried out for a relaxed structure of Pm2SmDy4Er.

Energy of formation   16 meV/atom
V   32.3 Å³/atom

```
data_Pm2SmDy4Er
_symmetry_space_group_name_H-M 'P -1'
_symmetry_Int_Tables_number 2
_cell_length_a 7.1490
_cell_length_b 7.1515
_cell_length_c 12.3631
_cell_angle_alpha 73.24
_cell_angle_beta 73.25
_cell_angle_gamma 60.03
loop_
_symmetry_equiv_pos_as_xyz
'x,y,z'
'-x,-y,-z'
loop_
_atom_site_label
_atom_site_fract_x
_atom_site_fract_y
_atom_site_fract_z
Pm1 0.0000 0.0000 0.0000
Pm2 0.0000 0.0000 0.5000
Pm3 0.0000 0.5000 0.0000
Pm4 0.5000 0.0000 0.0000
Sm1 0.0000 0.5000 0.5000
Sm2 0.5000 0.5000 0.0000
Dy1 0.2499 0.2494 0.2516
Dy2 0.2499 0.7492 0.2516
Dy3 0.2510 0.2504 0.7480
Dy4 0.2511 0.7504 0.7480
Er1 0.5000 0.0000 0.5000
Er2 0.5000 0.5000 0.5000
```

***

# 3
A plane-wave DFT calculation with PBE-GGA was carried out for a relaxed structure of Pm2SmDyEr5.

Energy of formation   266 meV/atom
V   31.9 Å³/atom

```
data_Pm2SmDyEr5
_symmetry_space_group_name_H-M 'I 4/m c m'
_symmetry_Int_Tables_number 140
_symmetry_space_group_name_Hall '-I 4 2c'
_cell_length_a 8.5884
_cell_length_b 8.5884
_cell_length_c 15.5728
_cell_angle_alpha 90.00
_cell_angle_beta 90.00
_cell_angle_gamma 90.00
loop_
_atom_site_label
_atom_site_fract_x
_atom_site_fract_y
_atom_site_fract_z
Pm1 0.1177 0.3823 0.0000
Sm1 0.0000 0.5000 0.2500
Dy1 0.0000 0.0000 0.2500
Er1 0.0000 0.0000 0.0000
Er2 0.2100 0.2900 0.3612
```

***

# 4
A plane-wave DFT calculation with PBE-GGA was carried out for a relaxed structure of PmSm5DyEr2.

Energy of formation   150 meV/atom
V   33.7 Å³/atom

```
data_PmSm5DyEr2
_symmetry_space_group_name_H-M 'C m c 21'
_symmetry_Int_Tables_number 36
_cell_length_a 5.6334
_cell_length_b 20.1944
_cell_length_c 10.6752
_cell_angle_alpha 90.00
_cell_angle_beta 90.00
_cell_angle_gamma 90.00
loop_
_symmetry_equiv_pos_as_xyz
'x,y,z'
'-x,-y,z+1/2'
'-x,y,z'
'x,-y,z+1/2'
'x+1/2,y+1/2,z'
'-x+1/2,-y+1/2,z+1/2'
'-x+1/2,y+1/2,z'
'x+1/2,-y+1/2,z+1/2'
loop_
_atom_site_label
_atom_site_fract_x
_atom_site_fract_y
_atom_site_fract_z
Pm1 0.0000 0.2011 0.0000
Sm1 0.0000 0.0169 0.0134
Sm2 0.0000 0.2816 0.2984
Sm3 0.0000 0.2980 0.6950
Sm4 0.0000 0.3918 0.0151
Sm5 0.0000 0.4790 0.7310
Dy1 0.0000 0.4119 0.4461
Er1 0.0000 0.1100 0.7279
Er2 0.0000 0.1157 0.3084
```

***

# 5
A plane-wave DFT calculation with PBE-GGA was carried out for a relaxed structure of Pm2SmDyEr2.

Energy of formation   269 meV/atom
V   33.4 Å³/atom

```
data_Pm2SmDyEr2
_symmetry_space_group_name_H-M 'P n n m'
_symmetry_Int_Tables_number 58
_cell_length_a 6.5681
_cell_length_b 18.0071
_cell_length_c 3.3929
_cell_angle_alpha 90.00
_cell_angle_beta 90.00
_cell_angle_gamma 90.00
loop_
_symmetry_equiv_pos_as_xyz
'x,y,z'
'-x,-y,-z'
'-x,-y,z'
'x,y,-z'
'x+1/2,-y+1/2,-z+1/2'
'-x+1/2,y+1/2,z+1/2'
'-x+1/2,y+1/2,-z+1/2'
'x+1/2,-y+1/2,z+1/2'
loop_
_atom_site_label
_atom_site_fract_x
_atom_site_fract_y
_atom_site_fract_z
Pm1 0.2258 0.1869 0.0000
Sm1 0.0000 0.5000 0.0000
Dy1 0.0000 0.0000 0.0000
Er1 0.2251 0.3539 0.5000
```

***

# 6
A plane-wave DFT calculation with PBE-GGA was carried out for a relaxed structure of Pm5SmDyEr2.

Energy of formation   148 meV/atom
V   34.0 Å³/atom

```
data_Pm5SmDyEr2
_symmetry_space_group_name_H-M 'C m c 21'
_symmetry_Int_Tables_number 36
_cell_length_a 5.6433
_cell_length_b 20.2799
_cell_length_c 10.6944
_cell_angle_alpha 90.00
_cell_angle_beta 90.00
_cell_angle_gamma 90.00
loop_
_symmetry_equiv_pos_as_xyz
'x,y,z'
'-x,-y,z+1/2'
'-x,y,z'
'x,-y,z+1/2'
'x+1/2,y+1/2,z'
'-x+1/2,-y+1/2,z+1/2'
'-x+1/2,y+1/2,z'
'x+1/2,-y+1/2,z+1/2'
loop_
_atom_site_label
_atom_site_fract_x
_atom_site_fract_y
_atom_site_fract_z
Pm1 0.0000 0.0166 0.0000
Pm2 0.0000 0.2813 0.2872
Pm3 0.0000 0.2975 0.6830
Pm4 0.0000 0.3905 0.0025
Pm5 0.0000 0.4797 0.7197
Sm1 0.0000 0.2004 0.9879
Dy1 0.0000 0.4111 0.4351
Er1 0.0000 0.1105 0.7162
Er2 0.0000 0.1158 0.2946
```

***

# 7
A plane-wave DFT calculation with PBE-GGA was carried out for a relaxed structure of PmSm2Dy3Er6.

Energy of formation   19 meV/atom
V   31.5 Å³/atom

```
data_PmSm2Dy3Er6
_symmetry_space_group_name_H-M 'C 1 2/m 1'
_symmetry_Int_Tables_number 12
_cell_length_a 6.1493
_cell_length_b 10.6433
_cell_length_c 11.7143
_cell_angle_alpha 90.00
_cell_angle_beta 100.04
_cell_angle_gamma 90.00
loop_
_symmetry_equiv_pos_as_xyz
'x,y,z'
'-x,-y,-z'
'-x,y,-z'
'x,-y,z'
'x+1/2,y+1/2,z'
'-x+1/2,-y+1/2,-z'
'-x+1/2,y+1/2,-z'
'x+1/2,-y+1/2,z'
loop_
_atom_site_label
_atom_site_fract_x
_atom_site_fract_y
_atom_site_fract_z
Pm1 0.0000 0.0000 0.0000
Sm1 0.0000 0.3334 0.0000
Dy1 0.0000 0.1667 0.5000
Dy2 0.0000 0.5000 0.5000
Er1 0.2490 0.0000 0.7476
Er2 0.2489 0.3333 0.7476
```

***

# 8
A plane-wave DFT calculation with PBE-GGA was carried out for a relaxed structure of PmDyErSn.

Energy of formation   -206 meV/atom
V   28.2 Å³/atom

```
data_PmDyErSn
_symmetry_space_group_name_H-M 'F -4 3 m'
_symmetry_Int_Tables_number 216
_symmetry_space_group_name_Hall 'F -4 2 3'
_cell_length_a 7.6692
_cell_length_b 7.6692
_cell_length_c 7.6692
_cell_angle_alpha 90.00
_cell_angle_beta 90.00
_cell_angle_gamma 90.00
loop_
_atom_site_label
_atom_site_fract_x
_atom_site_fract_y
_atom_site_fract_z
Pm1 0.0000 0.0000 0.0000
Dy1 0.2500 0.2500 0.7500
Er1 0.2500 0.2500 0.2500
Sn1 0.0000 0.0000 0.5000
```

***

Which of these has the lowest energy of formation? PmDyErSn